Record 1
# Si2AsP2

Si2AsP2 after structural relaxation (GGA-PBE, Alexandria).

Space group: I4_1md
ΔE_f (raw) (eV/atom): 0.089
Size of the total moment (μB per atom): 0.0000
V (A^3/atom): 22.6

```
Si2AsP2
1.0
-3.3153 3.3153 5.1475
3.3153 -3.3153 5.1475
3.3153 3.3153 -5.1475
Si As P
4 2 4
Direct
0.2347 0.0000 0.2347
0.7500 0.0153 0.2653
0.7500 0.4847 0.7347
0.7653 0.0000 0.7653
0.3490 0.8490 0.5000
0.5990 0.5990 0.0000
0.4678 0.2193 0.2485
0.9693 0.2208 0.2515
0.9693 0.7178 0.7485
0.9708 0.2193 0.7515
```

***

Record 2
# K3Y2NpS6

K3Y2NpS6 after structural relaxation (GGA-PBE, Alexandria).

Space group: C2/m
ΔE_f (raw) (eV/atom): -1.711
Size of the total moment (μB per atom): 0.3334
V (A^3/atom): 26.6

```
K3Y2NpS6
1.0
3.5356 -6.1177 0.0000
3.5356 6.1177 0.0000
-2.3504 0.0000 7.3718
K Y Np S
3 2 1 6
Direct
0.0000 0.0000 0.0000
0.3326 0.6674 0.0000
0.6674 0.3326 0.0000
0.1659 0.8341 0.5000
0.8341 0.1659 0.5000
0.5000 0.5000 0.5000
0.0967 0.4323 0.2978
0.2319 0.2319 0.7031
0.4323 0.0967 0.2978
0.5677 0.9033 0.7022
0.7681 0.7681 0.2969
0.9033 0.5677 0.7022
```

***

Record 3
# V2FeW2

V2FeW2 after structural relaxation (GGA-PBE, Alexandria).

Space group: C2/m
Formation enthalpy at 0 K (eV/atom): 0.000
Size of the total moment (μB per atom): 0.1903
V (A^3/atom): 14.1

```
V2FeW2
1.0
6.2121 -2.1552 0.0000
6.2121 2.1552 0.0000
-0.3810 0.0000 2.6241
V Fe W
2 1 2
Direct
0.0938 0.0938 0.3993
0.9062 0.9062 0.6007
0.5000 0.5000 0.0000
0.3028 0.3028 0.1994
0.6972 0.6972 0.8006
```

***

Record 4
# Tb6Pm2Y

Tb6Pm2Y after structural relaxation (GGA-PBE, Alexandria).

Space group: C2/m
Energy above the most stable polymorph in this dataset (meV per atom): 87
Formation enthalpy at 0 K (eV/atom): 0.196
Size of the total moment (μB per atom): 0.0000
V (A^3/atom): 33.6

```
Tb6Pm2Y
1.0
8.8514 -5.0335 0.0000
8.8514 5.0335 0.0000
-0.6513 0.0000 3.3980
Tb Pm Y
6 2 1
Direct
0.1442 0.5238 0.3345
0.1895 0.8105 0.0000
0.4762 0.8558 0.6655
0.5238 0.1442 0.3345
0.8105 0.1895 0.0000
0.8558 0.4762 0.6655
0.1683 0.1683 0.1671
0.8317 0.8317 0.8329
0.5000 0.5000 0.5000
```

***

Record 5
# Sc4InGa5

Sc4InGa5 after structural relaxation (GGA-PBE, Alexandria).

Space group: Pmmn
Formation enthalpy at 0 K (eV/atom): -0.273
Size of the total moment (μB per atom): 0.0000
V (A^3/atom): 21.0

```
Sc4InGa5
1.0
6.2584 0.0000 0.0000
0.0000 9.5266 0.0000
0.0000 0.0000 7.0330
Sc In Ga
8 2 10
Direct
0.0013 0.2500 0.1727
0.2500 0.0721 0.5005
0.2500 0.4279 0.5005
0.4987 0.2500 0.1727
0.5013 0.7500 0.8273
0.7500 0.5721 0.4995
0.7500 0.9279 0.4995
0.9987 0.7500 0.8273
0.2500 0.7500 0.4513
0.7500 0.2500 0.5487
0.0381 0.5500 0.1713
0.0381 0.9500 0.1713
0.2500 0.2500 0.8369
0.4619 0.5500 0.1713
0.4619 0.9500 0.1713
0.5381 0.0500 0.8287
0.5381 0.4500 0.8287
0.7500 0.7500 0.1631
0.9619 0.0500 0.8287
0.9619 0.4500 0.8287
```

***

Record 6
# KMg5

KMg5 after structural relaxation (GGA-PBE, Alexandria).

Space group: Cm
Energy above the most stable polymorph in this dataset (meV per atom): 15
Formation enthalpy at 0 K (eV/atom): 0.123
Size of the total moment (μB per atom): 0.0000
V (A^3/atom): 28.2

```
KMg5
1.0
7.0708 -1.5941 0.0000
7.0708 1.5941 0.0000
-2.3167 0.0000 7.5141
K Mg
1 5
Direct
0.0000 0.0000 0.0000
0.0006 0.0006 0.5005
0.2937 0.2937 0.1875
0.3379 0.3379 0.6095
0.6626 0.6626 0.3899
0.7069 0.7069 0.8120
```

***

Record 7
# Ho3Er2Tm6

Ho3Er2Tm6 after structural relaxation (GGA-PBE, Alexandria).

Space group: I4/mmm
Energy above the most stable polymorph in this dataset (meV per atom): 267
Formation enthalpy at 0 K (eV/atom): 0.293
Size of the total moment (μB per atom): 0.0001
V (A^3/atom): 32.2

```
Ho3Er2Tm6
1.0
-2.3265 2.3265 16.3368
2.3265 -2.3265 16.3368
2.3265 2.3265 -16.3368
Ho Er Tm
3 2 6
Direct
0.0000 0.0000 0.0000
0.2007 0.2007 0.0000
0.7993 0.7993 0.0000
0.4537 0.4537 0.0000
0.5463 0.5463 0.0000
0.1215 0.6215 0.5000
0.3047 0.3047 0.0000
0.3785 0.8785 0.5000
0.6215 0.1215 0.5000
0.6953 0.6953 0.0000
0.8785 0.3785 0.5000
```

***

Record 8
# InS3I3

InS3I3 after structural relaxation (GGA-PBE, Alexandria).

Space group: R-3
ΔE_f (raw) (eV/atom): 0.077
Size of the total moment (μB per atom): 0.0000
V (A^3/atom): 48.6

```
InS3I3
1.0
4.7184 2.7242 8.8307
-4.7184 2.7242 8.8307
0.0000 -5.4483 8.8307
In S I
2 6 6
Direct
0.0849 0.0849 0.0849
0.9151 0.9151 0.9151
0.0271 0.8557 0.3591
0.1443 0.6409 0.9729
0.3591 0.0271 0.8557
0.6409 0.9729 0.1443
0.8557 0.3591 0.0271
0.9729 0.1443 0.6409
0.0156 0.4936 0.7303
0.2697 0.9844 0.5064
0.4936 0.7303 0.0156
0.5064 0.2697 0.9844
0.7303 0.0156 0.4936
0.9844 0.5064 0.2697
```